Record 1
! Ti4Cu2Pd3, relaxed, DFT PBE; values from VASP
! ΔE_f = -0.351 eV/atom
! VASP energy = -6.5007 eV per atom
! SG = C2/m, No. 12
&SYSTEM
  ibrav = 0, nat = 9, ntyp = 3
/
ATOMIC_SPECIES
Ti 47.87 Ti.upf
Cu 63.55 Cu.upf
Pd 106.42 Pd.upf
CELL_PARAMETERS angstrom
3.8629 0.0000 0.0000
-1.9315 4.3310 0.7972
0.0000 1.1323 8.2976
ATOMIC_POSITIONS angstrom
Ti 1.9315 1.5843 1.1685
Ti 0.0000 0.8676 5.5522
Ti 1.9315 4.5957 3.5426
Ti 0.0000 3.8790 7.9263
Cu 0.0000 3.1000 2.3484
Cu 1.9315 2.3634 6.7465
Pd 0.0000 3.5401 5.1769
Pd 0.0000 0.0000 0.0000
Pd 1.9314 1.9232 3.9179

***

Record 2
! PrHoTm, relaxed, DFT PBE; values from VASP
! ΔE_f = 0.023 eV/atom
! VASP energy = -4.5869 eV per atom
! SG = C2/m, No. 12
! Energy above the lowest structure with this stoichiometry = 0 meV/atom
&SYSTEM
  ibrav = 0, nat = 6, ntyp = 3
/
ATOMIC_SPECIES
Pr 140.91 Pr.upf
Ho 164.93 Ho.upf
Tm 168.93 Tm.upf
CELL_PARAMETERS angstrom
-5.1813 3.1601 1.1799
1.5063 1.5084 -2.8883
-5.7290 -8.9913 -0.9999
ATOMIC_POSITIONS angstrom
Pr -3.5671 4.2118 -1.5882
Pr -3.8241 -1.8685 -2.6707
Ho -7.3806 -1.7624 -2.2413
Ho -5.7395 -4.8857 -3.0176
Tm -1.9400 1.1437 -2.3431
Tm -5.4507 1.1994 -1.9159

***

Record 3
! Pm7SmRu2, relaxed, DFT PBE; values from VASP
! ΔE_f = 0.059 eV/atom
! VASP energy = -5.5940 eV per atom
! SG = Cmmm, No. 65
&SYSTEM
  ibrav = 0, nat = 10, ntyp = 3
/
ATOMIC_SPECIES
Pm 145.00 Pm.upf
Sm 150.36 Sm.upf
Ru 101.07 Ru.upf
CELL_PARAMETERS angstrom
5.4988 0.0000 0.0000
0.0000 8.4206 -0.0506
0.0000 -3.7602 7.5346
ATOMIC_POSITIONS angstrom
Pm 0.0000 4.8505 2.1725
Pm 0.0000 -0.1901 5.3114
Pm 2.7494 -0.7438 2.4533
Pm 2.7494 5.4043 5.0307
Pm 2.7494 2.5298 0.4147
Pm 2.7494 2.1306 7.0693
Pm 2.7494 2.3302 3.7420
Sm 0.0000 0.0000 0.0000
Ru 2.7494 4.7855 2.2131
Ru 2.7494 -0.1250 5.2709